Record 1
# AcThIr, optimized geometry, DFT PBE
data_AcThIr
_cell_length_a 4.2299
_cell_length_b 4.2299
_cell_length_c 6.7057
_cell_angle_alpha 90.00
_cell_angle_beta 90.00
_cell_angle_gamma 120.00
_space_group_name_H-M_alt 'P 3 m 1'
_space_group_IT_number 156
loop_
_space_group_symop_operation_xyz
'x,y,z'
'-y,x-y,z'
'-x+y,-x,z'
'-y,-x,z'
'-x+y,y,z'
'x,x-y,z'
loop_
_atom_site_label
_atom_site_fract_x
_atom_site_fract_y
_atom_site_fract_z
Ac1 0.0000 0.0000 0.0000
Th1 0.6667 0.3333 0.5233
Ir1 0.3333 0.6667 0.7318
# Energy relative to the elements   -0.55 eV per atom

=====

Record 2
# AcThIr, optimized geometry, DFT PBE
data_AcThIr
_cell_length_a 3.726
_cell_length_b 3.726
_cell_length_c 12.676
_cell_angle_alpha 90.00
_cell_angle_beta 90.00
_cell_angle_gamma 90.00
_space_group_name_H-M_alt 'I 4 m m'
_space_group_IT_number 107
_space_group_name_Hall 'I 4 -2'
loop_
_atom_site_label
_atom_site_fract_x
_atom_site_fract_y
_atom_site_fract_z
Ac1 0.000 0.000 0.000
Th1 0.000 0.000 0.274
Ir1 0.000 0.000 0.673
# Energy relative to the elements   -0.42 eV per atom

=====

Record 3
# Ac4ThIr3, optimized geometry, DFT PBE
data_Ac4ThIr3
_cell_length_a 14.366
_cell_length_b 7.526
_cell_length_c 11.102
_cell_angle_alpha 90.00
_cell_angle_beta 113.81
_cell_angle_gamma 90.00
_space_group_name_H-M_alt 'C 1 c 1'
_space_group_IT_number 9
loop_
_space_group_symop_operation_xyz
'x,y,z'
'x,-y,z+1/2'
'x+1/2,y+1/2,z'
'x+1/2,-y+1/2,z+1/2'
loop_
_atom_site_label
_atom_site_fract_x
_atom_site_fract_y
_atom_site_fract_z
Ac1 0.000 0.159 0.000
Ac2 0.090 0.324 0.701
Ac3 0.190 0.167 0.413
Ac4 0.289 0.328 0.101
Th1 0.402 0.170 0.802
Ir1 0.084 0.500 0.447
Ir2 0.217 0.008 0.678
Ir3 0.480 0.479 0.746
# Energy relative to the elements   -0.61 eV per atom

=====

Record 4
# AcThIr2, optimized geometry, DFT PBE
data_AcThIr2
_cell_length_a 4.2057
_cell_length_b 4.2057
_cell_length_c 20.7902
_cell_angle_alpha 90.00
_cell_angle_beta 90.00
_cell_angle_gamma 120.00
_space_group_name_H-M_alt 'R -3 m'
_space_group_IT_number 166
_space_group_name_Hall '-R 3 2"'
loop_
_atom_site_label
_atom_site_fract_x
_atom_site_fract_y
_atom_site_fract_z
Ac1 0.0000 0.0000 0.0000
Th1 0.0000 0.0000 0.5000
Ir1 0.0000 0.0000 0.2431
# Energy relative to the elements   -0.72 eV per atom

=====

Record 5
# AcThIr2, optimized geometry, DFT PBE
data_AcThIr2
_cell_length_a 3.636
_cell_length_b 3.636
_cell_length_c 7.394
_cell_angle_alpha 90.00
_cell_angle_beta 90.00
_cell_angle_gamma 90.00
_space_group_name_H-M_alt 'P 4/m m m'
_space_group_IT_number 123
_space_group_name_Hall '-P 4 2'
loop_
_atom_site_label
_atom_site_fract_x
_atom_site_fract_y
_atom_site_fract_z
Ac1 0.000 0.000 0.000
Th1 0.000 0.000 0.500
Ir1 0.500 0.500 0.288
# Energy relative to the elements   -0.66 eV per atom

=====

Record 6
# Ac2ThIr2, optimized geometry, DFT PBE
data_Ac2ThIr2
_cell_length_a 4.230
_cell_length_b 6.060
_cell_length_c 12.632
_cell_angle_alpha 90.00
_cell_angle_beta 90.00
_cell_angle_gamma 90.00
_space_group_name_H-M_alt 'I m m m'
_space_group_IT_number 71
_space_group_name_Hall '-I 2 2'
loop_
_atom_site_label
_atom_site_fract_x
_atom_site_fract_y
_atom_site_fract_z
Ac1 0.000 0.000 0.177
Th1 0.000 0.000 0.500
Ir1 0.000 0.500 0.148
# Energy relative to the elements   -0.69 eV per atom

=====

Record 7
# AcThIr, optimized geometry, DFT PBE
data_AcThIr
_cell_length_a 7.219
_cell_length_b 7.219
_cell_length_c 7.219
_cell_angle_alpha 90.00
_cell_angle_beta 90.00
_cell_angle_gamma 90.00
_space_group_name_H-M_alt 'F -4 3 m'
_space_group_IT_number 216
_space_group_name_Hall 'F -4 2 3'
loop_
_atom_site_label
_atom_site_fract_x
_atom_site_fract_y
_atom_site_fract_z
Ac1 0.000 0.000 0.000
Th1 0.000 0.000 0.500
Ir1 0.250 0.250 0.250
# Energy relative to the elements   -0.34 eV per atom

=====

Record 8
# AcTh2Ir, optimized geometry, DFT PBE
data_AcTh2Ir
_cell_length_a 4.0812
_cell_length_b 4.0812
_cell_length_c 28.3843
_cell_angle_alpha 90.00
_cell_angle_beta 90.00
_cell_angle_gamma 120.00
_space_group_name_H-M_alt 'R 3 m'
_space_group_IT_number 160
_space_group_name_Hall 'R 3 -2"'
loop_
_atom_site_label
_atom_site_fract_x
_atom_site_fract_y
_atom_site_fract_z
Ac1 0.0000 0.0000 0.0000
Th1 0.0000 0.0000 0.5556
Th2 0.0000 0.0000 0.7751
Ir1 0.0000 0.0000 0.1646
# Energy relative to the elements   -0.40 eV per atom